Entry 1:
LaNb3F, optimized geometry, DFT PBE; spin magnetization = 0.0 Bohr magnetons per cell
1.0
4.927 0.000 0.000
0.000 4.927 0.000
0.000 0.000 4.927
Nb F La
3 1 1
Direct
0.000 0.500 0.000
0.000 0.000 0.500
0.500 0.000 0.000
0.500 0.500 0.500
0.000 0.000 0.000

---

Entry 2:
LaNbF3, optimized geometry, DFT PBE; spin magnetization = 4.8 Bohr magnetons per cell
1.0
-4.430 -0.589 0.185
0.591 -3.652 2.514
-0.180 2.514 3.695
Nb F La
1 3 1
Direct
0.000 0.000 0.000
0.000 0.500 0.000
0.000 0.000 0.500
0.500 0.000 0.000
0.500 0.500 0.500

---

Entry 3:
LaNb3F, optimized geometry, DFT PBE; spin magnetization = 0.0 Bohr magnetons per cell
1.0
-2.407 1.290 3.705
3.577 -1.066 2.695
1.613 4.288 -0.445
Nb F La
3 1 1
Direct
0.000 0.500 0.000
0.000 0.000 0.500
0.500 0.000 0.000
0.000 0.000 0.000
0.500 0.500 0.500

---

Entry 4:
LaNbF2, optimized geometry, DFT PBE; spin magnetization = 1.8 Bohr magnetons per cell
1.0
1.262 0.575 4.350
-2.391 2.778 2.722
-2.549 -1.739 3.365
Nb F La
1 2 1
Direct
0.000 0.000 0.000
0.250 0.250 0.250
0.750 0.750 0.750
0.500 0.500 0.500

---

Entry 5:
LaNbF2, optimized geometry, DFT PBE; spin magnetization = 4.0 Bohr magnetons per cell
1.0
5.453 0.000 0.000
0.000 5.453 0.000
2.726 2.726 5.607
Nb F La
2 4 2
Direct
0.500 0.500 0.000
0.250 0.750 0.500
0.626 0.125 0.250
0.124 0.625 0.250
0.375 0.374 0.750
0.875 0.876 0.750
0.000 0.000 0.000
0.750 0.250 0.500

---

Entry 6:
LaNbF2, optimized geometry, DFT PBE; spin magnetization = 0.0 Bohr magnetons per cell
1.0
-2.737 -7.747 0.163
-0.241 -7.945 2.084
-3.017 -6.941 3.201
Nb F La
1 2 1
Direct
0.000 0.000 0.000
0.908 0.908 0.908
0.092 0.092 0.092
0.500 0.500 0.500

---

| no. | formation energy without anion corrections (eV/atom) | total DFT energy (no corrections) (eV/atom) |
| --- | --- | --- |
| 1 | 1.840 | -5.5616 |
| 2 | -1.738 | -5.8601 |
| 3 | 0.161 | -7.2406 |
| 4 | -1.040 | -5.7247 |
| 5 | -1.447 | -6.1318 |
| 6 | -1.759 | -6.4441 |